# LiMoBr2 | Alexandria | PBE | optimized geometry
data_LiMoBr2
_chemical_formula_sum 'Li4 Mo4 Br8'
_symmetry_space_group_name_H-M 'F m -3 m'
_symmetry_Int_Tables_number 225
_symmetry_space_group_name_Hall '-F 4 2 3'
_cell_length_a 6.595
_cell_length_b 6.595
_cell_length_c 6.595
_cell_angle_alpha 90.00
_cell_angle_beta 90.00
_cell_angle_gamma 90.00
loop_
_atom_site_label
_atom_site_fract_x
_atom_site_fract_y
_atom_site_fract_z
Li1 0.000 0.000 0.000
Mo1 0.000 0.000 0.500
Br1 0.250 0.250 0.250
# Energy above the lowest structure with this stoichiometry, meV per atom: 286


# Ta2AsPt | Alexandria | PBE | optimized geometry
data_Ta2AsPt
_chemical_formula_sum 'Ta4 As2 Pt2'
_symmetry_space_group_name_H-M 'C m m m'
_symmetry_Int_Tables_number 65
_symmetry_space_group_name_Hall '-C 2 2'
_cell_length_a 5.895
_cell_length_b 7.315
_cell_length_c 3.127
_cell_angle_alpha 90.00
_cell_angle_beta 90.00
_cell_angle_gamma 90.00
loop_
_atom_site_label
_atom_site_fract_x
_atom_site_fract_y
_atom_site_fract_z
Ta1 0.250 0.250 0.000
As1 0.000 0.000 0.500
Pt1 0.000 0.500 0.500
# ΔH_f (0 K), eV per atom: -0.267


no.,energy (eV/atom)
1,-3.848
2,-8.866